Record 1
# In5Bi2Pb5 | the Alexandria database | GGA-PBE | optimized geometry
# calculated total energy	-3.3007	eV per atom
# magnetic moment	0.0	μB per cell
# density of states at the Fermi level	6.023	states/eV/f.u.
# formation energy from the elements	0.4	eV/f.u.
# crystal system	monoclinic
data_In5Bi2Pb5
_chemical_formula_sum 'In10 Bi4 Pb10'
_cell_length_a 16.104
_cell_length_b 5.654
_cell_length_c 9.420
_cell_angle_alpha 90.00
_cell_angle_beta 121.98
_cell_angle_gamma 90.00
_space_group_name_H-M_alt 'C 1 2/m 1'
_space_group_IT_number 12
loop_
_space_group_symop_operation_xyz
'x,y,z'
'-x,-y,-z'
'-x,y,-z'
'x,-y,z'
'x+1/2,y+1/2,z'
'-x+1/2,-y+1/2,-z'
'-x+1/2,y+1/2,-z'
'x+1/2,-y+1/2,z'
loop_
_atom_site_label
_atom_site_type_symbol
_atom_site_fract_x
_atom_site_fract_y
_atom_site_fract_z
In1 In 0.000 0.000 0.000
In2 In 0.158 0.000 0.814
In3 In 0.245 0.000 0.224
Bi1 Bi 0.093 0.000 0.421
Pb1 Pb 0.000 0.500 0.500
Pb2 Pb 0.094 0.500 0.933
Pb3 Pb 0.168 0.500 0.341

***

Record 2
# LaGdTe2 | the Alexandria database | GGA-PBE | optimized geometry
# calculated total energy	-7.6868	eV per atom
# ΔE to the lowest computed polymorph	0.57	eV per formula unit
# magnetic moment	33.0	μB per cell
# density of states at the Fermi level	4.821	states/eV/f.u.
# crystal system	cubic
data_LaGdTe2
_chemical_formula_sum 'La4 Gd4 Te8'
_cell_length_a 7.766
_cell_length_b 7.766
_cell_length_c 7.766
_cell_angle_alpha 90.00
_cell_angle_beta 90.00
_cell_angle_gamma 90.00
_space_group_name_H-M_alt 'F m -3 m'
_space_group_IT_number 225
_space_group_name_Hall '-F 4 2 3'
loop_
_atom_site_label
_atom_site_type_symbol
_atom_site_fract_x
_atom_site_fract_y
_atom_site_fract_z
La1 La 0.000 0.000 0.000
Gd1 Gd 0.000 0.000 0.500
Te1 Te 0.250 0.250 0.250

***

Record 3
# GeWS3 | the Alexandria database | GGA-PBE | optimized geometry
# calculated total energy	-5.7765	eV per atom
# ΔE to the lowest computed polymorph	0.00	eV per formula unit
# magnetic moment	0.0	μB per cell
# density of states at the Fermi level	3.963	states/eV/f.u.
# crystal system	cubic
data_GeWS3
_chemical_formula_sum 'Ge1 W1 S3'
_cell_length_a 4.703
_cell_length_b 4.703
_cell_length_c 4.703
_cell_angle_alpha 90.00
_cell_angle_beta 90.00
_cell_angle_gamma 90.00
_space_group_name_H-M_alt 'P m -3 m'
_space_group_IT_number 221
_space_group_name_Hall '-P 4 2 3'
loop_
_atom_site_label
_atom_site_type_symbol
_atom_site_fract_x
_atom_site_fract_y
_atom_site_fract_z
Ge1 Ge 0.000 0.000 0.000
W1 W 0.500 0.500 0.500
S1 S 0.000 0.500 0.500

***

Record 4
# Ca2Zn7In | the Alexandria database | GGA-PBE | optimized geometry
# calculated total energy	-1.8009	eV per atom
# magnetic moment	0.0	μB per cell
# density of states at the Fermi level	2.817	states/eV/f.u.
# formation energy from the elements	-2.4	eV/f.u.
# crystal system	tetragonal
data_Ca2Zn7In
_chemical_formula_sum 'Ca2 Zn7 In1'
_cell_length_a 4.229
_cell_length_b 4.229
_cell_length_c 11.245
_cell_angle_alpha 90.00
_cell_angle_beta 90.00
_cell_angle_gamma 90.00
_space_group_name_H-M_alt 'P -4 m 2'
_space_group_IT_number 115
loop_
_space_group_symop_operation_xyz
'x,y,z'
'y,-x,-z'
'-x,-y,z'
'-y,x,-z'
'-x,y,z'
'-y,-x,-z'
'x,-y,z'
'y,x,-z'
loop_
_atom_site_label
_atom_site_type_symbol
_atom_site_fract_x
_atom_site_fract_y
_atom_site_fract_z
Ca1 Ca 0.000 0.500 0.242
Zn1 Zn 0.000 0.000 0.000
Zn2 Zn 0.000 0.500 0.649
Zn3 Zn 0.000 0.500 0.868
Zn4 Zn 0.500 0.500 0.000
Zn5 Zn 0.500 0.500 0.500
In1 In 0.000 0.000 0.500

***

Record 5
# ScMnBe2Cd | the Alexandria database | GGA-PBE | optimized geometry
# calculated total energy	-3.3375	eV per atom
# magnetic moment	1.4	μB per cell
# density of states at the Fermi level	3.240	states/eV/f.u.
# formation energy from the elements	7.2	eV/f.u.
# crystal system	tetragonal
data_ScMnBe2Cd
_chemical_formula_sum 'Sc1 Mn1 Be2 Cd1'
_cell_length_a 4.703
_cell_length_b 4.703
_cell_length_c 4.346
_cell_angle_alpha 90.00
_cell_angle_beta 90.00
_cell_angle_gamma 90.00
_space_group_name_H-M_alt 'P 4/m m m'
_space_group_IT_number 123
_space_group_name_Hall '-P 4 2'
loop_
_atom_site_label
_atom_site_type_symbol
_atom_site_fract_x
_atom_site_fract_y
_atom_site_fract_z
Sc1 Sc 0.000 0.000 0.000
Mn1 Mn 0.000 0.000 0.500
Be1 Be 0.000 0.500 0.000
Cd1 Cd 0.500 0.500 0.500

***

Record 6
# Nd5YCu6 | the Alexandria database | GGA-PBE | optimized geometry
# calculated total energy	-4.7293	eV per atom
# magnetic moment	0.0	μB per cell
# density of states at the Fermi level	8.609	states/eV/f.u.
# formation energy from the elements	-1.9	eV/f.u.
# crystal system	monoclinic
data_Nd5YCu6
_chemical_formula_sum 'Nd10 Y2 Cu12'
_cell_length_a 16.016
_cell_length_b 7.101
_cell_length_c 5.076
_cell_angle_alpha 90.00
_cell_angle_beta 108.31
_cell_angle_gamma 90.00
_space_group_name_H-M_alt 'C 1 2/m 1'
_space_group_IT_number 12
loop_
_space_group_symop_operation_xyz
'x,y,z'
'-x,-y,-z'
'-x,y,-z'
'x,-y,z'
'x+1/2,y+1/2,z'
'-x+1/2,-y+1/2,-z'
'-x+1/2,y+1/2,-z'
'x+1/2,-y+1/2,z'
loop_
_atom_site_label
_atom_site_type_symbol
_atom_site_fract_x
_atom_site_fract_y
_atom_site_fract_z
Nd1 Nd 0.000 0.000 0.000
Nd2 Nd 0.166 0.000 0.666
Nd3 Nd 0.167 0.500 0.667
Y1 Y 0.000 0.500 0.000
Cu1 Cu 0.000 0.262 0.500
Cu2 Cu 0.163 0.256 0.162

***

Record 7
# Cs2GeBr4 | the Alexandria database | GGA-PBE | optimized geometry
# calculated total energy	-3.1463	eV per atom
# ΔE to the lowest computed polymorph	0.12	eV per formula unit
# magnetic moment	0.0	μB per cell
# density of states at the Fermi level	0.000	states/eV/f.u.
# crystal system	monoclinic
data_Cs2GeBr4
_chemical_formula_sum 'Cs4 Ge2 Br8'
_cell_length_a 8.130
_cell_length_b 7.533
_cell_length_c 10.577
_cell_angle_alpha 90.00
_cell_angle_beta 108.98
_cell_angle_gamma 90.00
_space_group_name_H-M_alt 'P 1 21/m 1'
_space_group_IT_number 11
loop_
_space_group_symop_operation_xyz
'x,y,z'
'-x,-y,-z'
'-x,y+1/2,-z'
'x,-y+1/2,z'
loop_
_atom_site_label
_atom_site_type_symbol
_atom_site_fract_x
_atom_site_fract_y
_atom_site_fract_z
Cs1 Cs 0.117 0.250 0.426
Cs2 Cs 0.264 0.750 0.069
Ge1 Ge 0.460 0.750 0.669
Br1 Br 0.215 0.750 0.410
Br2 Br 0.218 0.250 0.110
Br3 Br 0.314 0.505 0.755

***

Record 8
# NaH2Ru | the Alexandria database | GGA-PBE | optimized geometry
# calculated total energy	-3.5417	eV per atom
# ΔE to the lowest computed polymorph	2.36	eV per formula unit
# magnetic moment	0.0	μB per cell
# density of states at the Fermi level	2.169	states/eV/f.u.
# crystal system	cubic
data_NaH2Ru
_chemical_formula_sum 'Na4 H8 Ru4'
_cell_length_a 5.298
_cell_length_b 5.298
_cell_length_c 5.298
_cell_angle_alpha 90.00
_cell_angle_beta 90.00
_cell_angle_gamma 90.00
_space_group_name_H-M_alt 'F m -3 m'
_space_group_IT_number 225
_space_group_name_Hall '-F 4 2 3'
loop_
_atom_site_label
_atom_site_type_symbol
_atom_site_fract_x
_atom_site_fract_y
_atom_site_fract_z
Na1 Na 0.000 0.000 0.000
H1 H 0.250 0.250 0.250
Ru1 Ru 0.000 0.000 0.500

***

Record 9
# NpMnTlSe4 | the Alexandria database | GGA-PBE | optimized geometry
# calculated total energy	-6.1813	eV per atom
# magnetic moment	14.0	μB per cell
# density of states at the Fermi level	7.968	states/eV/f.u.
# crystal system	monoclinic
data_NpMnTlSe4
_chemical_formula_sum 'Np2 Mn2 Tl2 Se8'
_cell_length_a 6.745
_cell_length_b 6.502
_cell_length_c 9.171
_cell_angle_alpha 90.00
_cell_angle_beta 108.43
_cell_angle_gamma 90.00
_space_group_name_H-M_alt 'P 1 21/m 1'
_space_group_IT_number 11
loop_
_space_group_symop_operation_xyz
'x,y,z'
'-x,-y,-z'
'-x,y+1/2,-z'
'x,-y+1/2,z'
loop_
_atom_site_label
_atom_site_type_symbol
_atom_site_fract_x
_atom_site_fract_y
_atom_site_fract_z
Np1 Np 0.234 0.250 0.053
Mn1 Mn 0.229 0.750 0.829
Tl1 Tl 0.266 0.250 0.560
Se1 Se 0.024 0.513 0.213
Se2 Se 0.436 0.750 0.663
Se3 Se 0.440 0.750 0.088

***

Record 10
# CuSeS2 | the Alexandria database | GGA-PBE | optimized geometry
# calculated total energy	-3.8413	eV per atom
# magnetic moment	0.0	μB per cell
# density of states at the Fermi level	2.940	states/eV/f.u.
# crystal system	trigonal
data_CuSeS2
_chemical_formula_sum 'Cu3 Se3 S6'
_cell_length_a 3.5494
_cell_length_b 3.5494
_cell_length_c 21.5501
_cell_angle_alpha 90.00
_cell_angle_beta 90.00
_cell_angle_gamma 120.00
_space_group_name_H-M_alt 'R -3 m'
_space_group_IT_number 166
_space_group_name_Hall '-R 3 2"'
loop_
_atom_site_label
_atom_site_type_symbol
_atom_site_fract_x
_atom_site_fract_y
_atom_site_fract_z
Cu1 Cu 0.0000 0.0000 0.0000
Se1 Se 0.0000 0.0000 0.5000
S1 S 0.0000 0.0000 0.3908

***

Record 11
# NaZr2Pt | the Alexandria database | GGA-PBE | optimized geometry
# calculated total energy	-5.8504	eV per atom
# ΔE to the lowest computed polymorph	1.46	eV per formula unit
# magnetic moment	0.0	μB per cell
# density of states at the Fermi level	5.501	states/eV/f.u.
# formation energy from the elements	1.1	eV/f.u.
# crystal system	tetragonal
data_NaZr2Pt
_chemical_formula_sum 'Na4 Zr8 Pt4'
_cell_length_a 4.220
_cell_length_b 4.220
_cell_length_c 19.685
_cell_angle_alpha 90.00
_cell_angle_beta 90.00
_cell_angle_gamma 90.00
_space_group_name_H-M_alt 'I -4 2 d'
_space_group_IT_number 122
_space_group_name_Hall 'I -4 2bw'
loop_
_atom_site_label
_atom_site_type_symbol
_atom_site_fract_x
_atom_site_fract_y
_atom_site_fract_z
Na1 Na 0.000 0.000 0.000
Zr1 Zr 0.232 0.250 0.625
Pt1 Pt 0.000 0.000 0.500

***

Record 12
# Rb2ScC2O6 | the Alexandria database | GGA-PBE | optimized geometry
# calculated total energy	-6.9833	eV per atom
# magnetic moment	0.0	μB per cell
# density of states at the Fermi level	2.281	states/eV/f.u.
# crystal system	trigonal
data_Rb2ScC2O6
_chemical_formula_sum 'Rb2 Sc1 C2 O6'
_cell_length_a 5.3603
_cell_length_b 5.3603
_cell_length_c 7.6156
_cell_angle_alpha 90.00
_cell_angle_beta 90.00
_cell_angle_gamma 120.00
_space_group_name_H-M_alt 'P -3 m 1'
_space_group_IT_number 164
_space_group_name_Hall '-P 3 2"'
loop_
_atom_site_label
_atom_site_type_symbol
_atom_site_fract_x
_atom_site_fract_y
_atom_site_fract_z
Rb1 Rb 0.3333 0.6667 0.3120
Sc1 Sc 0.0000 0.0000 0.0000
C1 C 0.3333 0.6667 0.8512
O1 O 0.1930 0.3860 0.8462